An optimized crystal structure of BaCa3Pu2N6. Source: Alexandria via LeMat-Bulk, functional PBE.

Summary:
N(E_F)   0.833 states/eV/atom
Calculated volume   16.50 Å³/atom
Total magnetic moment   6.0 μB/f.u.
Formation energy from raw total energies   -0.9510 eV per atom
Crystal system   monoclinic

abc: 8.1775 8.1775 7.0984
angles: 100.56 100.56 25.14
With the nearest neighbours (Å) after each atom.
Positions (direct):
1 Ba 0.0000 0.0000 0.0000  6 N 2.76-2.77
2 Ca 0.0000 0.0000 0.5000  4 N 2.44
3 Ca 0.3230 0.3230 0.1589  3 N 2.34-2.56
4 Ca 0.6770 0.6770 0.8411  3 N 2.34-2.56
5 Pu 0.3283 0.3283 0.6594  2 N 2.05-2.20
6 Pu 0.6717 0.6717 0.3406  2 N 2.05-2.20
7 N 0.1746 0.1746 0.1242  1 Ca 2.34, 2 Pu 2.36
8 N 0.1879 0.1879 0.5876  1 Pu 2.20
9 N 0.4588 0.4588 0.6986  1 Pu 2.05
10 N 0.5412 0.5412 0.3014  1 Pu 2.05
11 N 0.8121 0.8121 0.4124  1 Pu 2.20
12 N 0.8254 0.8254 0.8758  1 Ca 2.34, 2 Pu 2.36